No. 1
# GGA-PBE BaInSn2Se6, relaxed
# - DOS(E_F): 0.367 states/eV per atom
# - Raw formation energy: -0.652 eV per atom
data_BaInSn2Se6
_chemical_formula_sum 'Ba2 In2 Sn4 Se12'
_cell_length_a 8.7000
_cell_length_b 9.7988
_cell_length_c 9.7988
_cell_angle_alpha 77.96
_cell_angle_beta 68.11
_cell_angle_gamma 68.11
_symmetry_space_group_name_H-M 'P 1'
_symmetry_Int_Tables_number 1
loop_
_symmetry_equiv_pos_as_xyz
'x,y,z'
loop_
_atom_site_label
_atom_site_type_symbol
_atom_site_fract_x
_atom_site_fract_y
_atom_site_fract_z
Ba1 Ba 0.2500 0.8238 0.1762
Ba2 Ba 0.7500 0.1762 0.8238
In1 In 0.2500 0.1835 0.8165
In2 In 0.7500 0.8165 0.1835
Sn1 Sn 0.3324 0.7627 0.6373
Sn2 Sn 0.1676 0.3627 0.2373
Sn3 Sn 0.6676 0.2373 0.3627
Sn4 Sn 0.8324 0.6373 0.7627
Se1 Se 0.1479 0.9491 0.8453
Se2 Se 0.3521 0.1547 0.0509
Se3 Se 0.8521 0.0509 0.1547
Se4 Se 0.6479 0.8453 0.9491
Se5 Se 0.4377 0.9019 0.3790
Se6 Se 0.0623 0.6210 0.0981
Se7 Se 0.5623 0.0981 0.6210
Se8 Se 0.9377 0.3790 0.9019
Se9 Se 0.0815 0.7265 0.5644
Se10 Se 0.4185 0.4356 0.2735
Se11 Se 0.9185 0.2735 0.4356
Se12 Se 0.5815 0.5644 0.7265

---

No. 2
# GGA-PBE PmSm2Co3, relaxed
# - DOS(E_F): 0.557 states/eV per atom
# - Calculated formation energy: -0.0942 eV per atom
data_PmSm2Co3
_chemical_formula_sum 'Pm2 Sm4 Co6'
_cell_length_a 4.6080
_cell_length_b 8.0581
_cell_length_c 8.0646
_cell_angle_alpha 119.97
_cell_angle_beta 90.00
_cell_angle_gamma 90.00
_symmetry_space_group_name_H-M 'P 1'
_symmetry_Int_Tables_number 1
loop_
_symmetry_equiv_pos_as_xyz
'x,y,z'
loop_
_atom_site_label
_atom_site_type_symbol
_atom_site_fract_x
_atom_site_fract_y
_atom_site_fract_z
Pm1 Pm 0.2500 0.1675 0.0000
Pm2 Pm 0.7500 0.8325 0.0000
Sm1 Sm 0.7500 0.5007 0.3341
Sm2 Sm 0.2500 0.4993 0.6659
Sm3 Sm 0.2500 0.8334 0.3341
Sm4 Sm 0.7500 0.1666 0.6659
Co1 Co 0.0000 0.1672 0.3343
Co2 Co 0.5000 0.8328 0.6657
Co3 Co 0.0000 0.5000 0.0000
Co4 Co 0.5000 0.5000 0.0000
Co5 Co 0.0000 0.8328 0.6657
Co6 Co 0.5000 0.1672 0.3343